(1)
# TaIrSe2Br

A relaxed structure of TaIrSe2Br (GGA-PBE, Alexandria via LeMat-Bulk). Values from VASP.

Geometry as Quantum ESPRESSO input:
```
&SYSTEM
  ibrav = 0, nat = 5, ntyp = 4
/
ATOMIC_SPECIES
Ta 180.95 Ta.upf
Ir 192.22 Ir.upf
Se 78.96 Se.upf
Br 79.90 Br.upf
ATOMIC_POSITIONS crystal
Ta 0.000 0.000 0.000
Ir 0.500 0.500 0.500
Se 0.000 0.500 0.500
Se 0.500 0.000 0.500
Br 0.500 0.500 0.000
CELL_PARAMETERS angstrom
4.903 0.000 0.000
0.000 4.903 0.000
0.000 0.000 4.848
```

Computed properties:
- volume (Å³/atom) = 23.31
- theoretical density (g/cm³) = 8.70
- uncorrected formation energy (eV per atom) = 1.026
- relative energy among the computed polymorphs (kJ/mol of atoms) = 11.5
- raw total energy (eV per atom) = -4.845

---

(2)
# PmNd7Y12

A relaxed structure of PmNd7Y12 (GGA-PBE, Alexandria via LeMat-Bulk). Values from VASP.

Geometry as Quantum ESPRESSO input:
```
&SYSTEM
  ibrav = 0, nat = 20, ntyp = 3
/
ATOMIC_SPECIES
Pm 145.00 Pm.upf
Nd 144.24 Nd.upf
Y 88.91 Y.upf
ATOMIC_POSITIONS crystal
Pm 0.000 0.000 0.000
Nd 0.000 0.000 0.500
Nd 0.000 0.500 0.000
Nd 0.000 0.500 0.500
Nd 0.500 0.000 0.000
Nd 0.500 0.000 0.500
Nd 0.500 0.500 0.000
Nd 0.500 0.500 0.500
Y 0.000 0.249 0.751
Y 0.000 0.751 0.249
Y 0.249 0.000 0.751
Y 0.249 0.249 0.499
Y 0.249 0.499 0.249
Y 0.249 0.751 0.000
Y 0.499 0.249 0.249
Y 0.501 0.751 0.751
Y 0.751 0.000 0.249
Y 0.751 0.249 0.000
Y 0.751 0.501 0.751
Y 0.751 0.751 0.501
CELL_PARAMETERS angstrom
-5.685 5.685 5.685
5.685 -5.685 5.685
5.685 5.685 -5.685
```

Computed properties:
- volume (Å³/atom) = 36.74
- theoretical density (g/cm³) = 5.02
- relative energy among the computed polymorphs (kJ/mol of atoms) = 37.4
- formation enthalpy at 0 K (kJ/mol of atoms) = 59.7
- raw total energy (eV per atom) = -5.166

---

(3)
# AcInGaHg

A relaxed structure of AcInGaHg (GGA-PBE, Alexandria via LeMat-Bulk). Values from VASP.

Geometry as Quantum ESPRESSO input:
```
&SYSTEM
  ibrav = 0, nat = 16, ntyp = 4
/
ATOMIC_SPECIES
Ac 227.00 Ac.upf
In 114.82 In.upf
Ga 69.72 Ga.upf
Hg 200.59 Hg.upf
ATOMIC_POSITIONS crystal
Ac 0.000 0.000 0.000
Ac 0.000 0.500 0.500
Ac 0.500 0.000 0.500
Ac 0.500 0.500 0.000
In 0.000 0.000 0.500
In 0.000 0.500 0.000
In 0.500 0.000 0.000
In 0.500 0.500 0.500
Ga 0.250 0.250 0.750
Ga 0.250 0.750 0.250
Ga 0.750 0.250 0.250
Ga 0.750 0.750 0.750
Hg 0.250 0.250 0.250
Hg 0.250 0.750 0.750
Hg 0.750 0.250 0.750
Hg 0.750 0.750 0.250
CELL_PARAMETERS angstrom
7.596 0.000 0.000
0.000 7.596 0.000
0.000 0.000 7.596
```

Computed properties:
- volume (Å³/atom) = 27.39
- theoretical density (g/cm³) = 9.28
- formation enthalpy at 0 K (kJ/mol of atoms) = -34.5
- raw total energy (eV per atom) = -2.902